Material: Sr2ZrTiRh
Method: DFT, GGA-PBE
State: optimized geometry Values from VASP.

Results
Uncorrected energy: -24.04 eV/cell
Magnetic moment: 0.582 Bohr magnetons per cell

The structure in Quantum ESPRESSO input format:
```
&SYSTEM
  ibrav = 0, nat = 5, ntyp = 4
/
ATOMIC_SPECIES
Sr 87.62 Sr.upf
Zr 91.22 Zr.upf
Ti 47.87 Ti.upf
Rh 102.91 Rh.upf
ATOMIC_POSITIONS angstrom
Sr 0.000 2.863 0.000
Sr 2.863 0.000 0.000
Zr 0.000 0.000 2.524
Ti 2.863 2.863 2.524
Rh 0.000 0.000 0.000
CELL_PARAMETERS angstrom
5.727 0.000 0.000
0.000 5.727 0.000
0.000 0.000 5.048
```

=====

Material: Sr3Tl2Rh
Method: DFT, GGA-PBE
State: optimized geometry Values from VASP.

Results
Uncorrected energy: -76.95 eV/cell
Magnetic moment: 0.000 Bohr magnetons per cell

The structure in Quantum ESPRESSO input format:
```
&SYSTEM
  ibrav = 0, nat = 24, ntyp = 3
/
ATOMIC_SPECIES
Sr 87.62 Sr.upf
Tl 204.38 Tl.upf
Rh 102.91 Rh.upf
ATOMIC_POSITIONS angstrom
Sr 0.675 1.112 1.667
Sr 1.520 3.337 7.332
Sr 3.135 1.112 10.674
Sr 3.551 3.337 3.877
Sr 5.167 1.112 0.535
Sr 6.012 3.337 8.464
Sr 7.361 1.112 5.130
Sr 8.206 3.337 13.059
Sr 9.822 1.112 9.716
Sr 10.238 3.337 2.920
Sr 11.854 1.112 6.262
Sr 12.698 3.337 11.926
Tl 0.115 3.337 4.165
Tl 2.656 3.337 13.393
Tl 4.030 1.112 6.596
Tl 6.572 1.112 10.962
Tl 6.801 3.337 2.632
Tl 9.343 3.337 6.997
Tl 10.717 1.112 0.201
Tl 13.259 1.112 9.429
Rh 1.629 1.112 5.009
Rh 5.057 3.337 11.806
Rh 8.316 1.112 1.787
Rh 11.744 3.337 8.584
CELL_PARAMETERS angstrom
13.373 0.000 0.000
0.000 4.450 0.000
0.000 0.000 13.593
```

=====

Material: Sr6TlRh2
Method: DFT, GGA-PBE
State: optimized geometry Values from VASP.

Results
Uncorrected energy: -58.72 eV/cell
Magnetic moment: 2.392 Bohr magnetons per cell

The structure in Quantum ESPRESSO input format:
```
&SYSTEM
  ibrav = 0, nat = 18, ntyp = 3
/
ATOMIC_SPECIES
Sr 87.62 Sr.upf
Tl 204.38 Tl.upf
Rh 102.91 Rh.upf
ATOMIC_POSITIONS angstrom
Sr 5.165 3.123 -3.077
Sr 3.017 1.891 0.000
Sr 7.314 1.891 0.000
Sr 1.919 5.264 -1.947
Sr 3.246 0.000 3.787
Sr 0.000 2.140 2.658
Sr 5.165 3.123 3.077
Sr 1.919 5.264 1.947
Sr 3.246 0.000 7.682
Sr -2.148 3.373 5.734
Sr 2.148 3.373 5.734
Sr 0.000 2.140 8.811
Tl 0.000 0.000 0.000
Tl 0.000 0.000 5.734
Rh 5.165 0.000 1.334
Rh 0.000 3.800 0.000
Rh 0.000 6.728 0.000
Rh 0.000 5.264 4.400
CELL_PARAMETERS angstrom
-5.165 5.264 5.734
5.165 -5.264 5.734
5.165 5.264 -5.734
```

=====

Material: SrTl2Rh
Method: DFT, GGA-PBE
State: optimized geometry Values from VASP.

Results
Uncorrected energy: -13.89 eV/cell
Magnetic moment: 0.000 Bohr magnetons per cell

The structure in Quantum ESPRESSO input format:
```
&SYSTEM
  ibrav = 0, nat = 4, ntyp = 3
/
ATOMIC_SPECIES
Sr 87.62 Sr.upf
Tl 204.38 Tl.upf
Rh 102.91 Rh.upf
ATOMIC_POSITIONS angstrom
Sr 0.000 0.000 0.000
Tl 2.171 0.000 2.553
Tl 0.000 0.000 4.973
Rh 0.000 2.696 2.203
CELL_PARAMETERS angstrom
-2.171 2.696 4.490
2.171 -2.696 4.490
2.171 2.696 -4.490
```

=====

Material: SrTl2Rh2
Method: DFT, GGA-PBE
State: optimized geometry Values from VASP.

Results
Uncorrected energy: -44.35 eV/cell
Excess energy over the best structure of this formula in the dataset: 0 meV per atom
Magnetic moment: 0.000 Bohr magnetons per cell

The structure in Quantum ESPRESSO input format:
```
&SYSTEM
  ibrav = 0, nat = 10, ntyp = 3
/
ATOMIC_SPECIES
Sr 87.62 Sr.upf
Tl 204.38 Tl.upf
Rh 102.91 Rh.upf
ATOMIC_POSITIONS angstrom
Sr -0.791 1.162 1.662
Sr 0.802 3.499 4.982
Tl -2.199 1.031 5.230
Tl -0.800 4.908 1.907
Tl 0.812 -0.246 4.737
Tl 2.211 3.631 1.414
Rh -2.233 3.375 3.655
Rh 2.236 1.045 0.336
Rh -2.224 3.617 6.308
Rh 2.245 1.286 2.989
CELL_PARAMETERS angstrom
6.029 0.000 0.000
-3.013 6.208 0.000
-3.004 -1.547 6.644
```

=====

Material: SrTl2Rh
Method: DFT, GGA-PBE
State: optimized geometry Values from VASP.

Results
Uncorrected energy: -14.57 eV/cell
Magnetic moment: 0.000 Bohr magnetons per cell

The structure in Quantum ESPRESSO input format:
```
&SYSTEM
  ibrav = 0, nat = 4, ntyp = 3
/
ATOMIC_SPECIES
Sr 87.62 Sr.upf
Tl 204.38 Tl.upf
Rh 102.91 Rh.upf
ATOMIC_POSITIONS angstrom
Sr 0.000 0.000 0.000
Tl 0.000 0.000 9.242
Tl 0.000 0.000 13.164
Rh 0.000 0.000 3.136
CELL_PARAMETERS angstrom
2.381 1.375 5.581
-2.381 1.375 5.581
0.000 -2.750 5.581
```